DFT (PBE-GGA) results for an optimized crystal structure of Pr3Ag3Bi4.

## Properties
uncorrected energy	-0.162	Ha/atom
energy of formation	-0.56	eV per atom

Unit cell a=8.998 b=8.998 c=8.998 alpha=109.47 beta=109.47 gamma=109.47
Positions (direct):
Pr (0.625, 0.750, 0.875)
Pr (0.875, 0.250, 0.625)
Pr (0.125, 0.375, 0.250)
Pr (0.375, 0.125, 0.750)
Pr (0.250, 0.875, 0.125)
Pr (0.750, 0.625, 0.375)
Ag (0.125, 0.750, 0.375)
Ag (0.375, 0.250, 0.125)
Ag (0.625, 0.875, 0.250)
Ag (0.875, 0.625, 0.750)
Ag (0.250, 0.375, 0.625)
Ag (0.750, 0.125, 0.875)
Bi (0.000, 0.000, 0.325)
Bi (0.500, 0.325, 0.500)
Bi (0.675, 0.175, 0.175)
Bi (0.000, 0.000, 0.825)
Bi (0.825, 0.500, 0.000)
Bi (0.500, 0.825, 0.500)
Bi (0.325, 0.500, 0.000)
Bi (0.175, 0.675, 0.675)